## PrSmHoZn (GGA-PBE)

Data for a relaxed structure of PrSmHoZn.

Computed properties:
For the density of states at the Fermi level, the calculation gives 4.83 states/eV per cell. The symmetry is No. 99. The energy of formation is -0.1573 eV/atom. The energy above the most stable polymorph in this dataset is 0.000 eV per atom.

Unit cell a=3.6228 b=3.6228 c=8.7793 alpha=90.00 beta=90.00 gamma=90.00
Last column: nearest neighbours and their distance in Å.
Fractional positions:
Pr1 0.0000 0.0000 0.0775  4 Pr 3.62, 4 Ho 3.63, 4 Sm 3.69
Sm1 0.5000 0.5000 0.7750  4 Zn 3.17, 1 Ho 3.55
Ho1 0.5000 0.5000 0.3703  4 Zn 3.06
Zn1 0.0000 0.0000 0.5619  4 Ho 3.06, 4 Sm 3.17